[1]
Compound: Ac5La2Co4
Source: Alexandria
Functional: PBE-GGA
Structure: optimized geometry

Lattice parameters (Å, degrees): 17.9345 4.0221 10.0425 90.00 115.02 90.00
With the nearest neighbours (Å) after each atom.
Space group C2/m (No. 12)
Symmetry-distinct sites (fractional):
Ac 0.0000 0.0000 0.0000 (multiplicity 2)  4 Co 3.13
Ac 0.1417 0.5000 0.4061 (multiplicity 4)  3 Co 2.85-3.05
Ac 0.2295 0.0000 0.1451 (multiplicity 4)  5 Co 2.90-3.24
La 0.0732 0.0000 0.7094 (multiplicity 4)  3 Co 2.68-2.81
Co 0.1098 0.5000 0.9240 (multiplicity 4)  2 La 2.81, 4 Ac 3.09-3.13
Co 0.1974 0.0000 0.6280 (multiplicity 4)  1 La 2.68, 4 Ac 2.85-2.90

magnetization = 0.00 μB per cell
energy = -117.97 eV for the cell shown
energy relative to the elements = -0.02 eV/atom

***

[2]
Compound: BaTl2Hg10
Source: Alexandria
Functional: PBE-GGA
Structure: optimized geometry

Lattice parameters (Å, degrees): 6.8049 14.6273 15.2330 90.00 90.00 90.00
With the nearest neighbours (Å) after each atom.
Space group Fmmm (No. 69)
Symmetry-distinct sites (fractional):
Ba 0.0000 0.0000 0.0000 (multiplicity 4)  16 Hg 3.72-4.07
Tl 0.2500 0.0000 0.2500 (multiplicity 8)  8 Hg 3.23-3.35, 2 Tl 3.40
Hg 0.0000 0.1080 0.3972 (multiplicity 16)  5 Hg 3.11-3.28, 2 Tl 3.23
Hg 0.0000 0.1799 0.1726 (multiplicity 16)  4 Hg 3.13-3.30, 2 Tl 3.35
Hg 0.2500 0.2500 0.0000 (multiplicity 8)  10 Hg 3.11-3.40

magnetization = 0.00 μB per cell
energy = -44.38 eV for the cell shown
energy relative to the elements = -0.11 eV/atom

***

[3]
Compound: GdVCo4
Source: Alexandria
Functional: PBE-GGA
Structure: optimized geometry

Lattice parameters (Å, degrees): 6.9287 6.9287 6.9287 90.00 90.00 90.00
With the nearest neighbours (Å) after each atom.
Space group F-43m (No. 216)
Symmetry-distinct sites (fractional):
Gd 0.0000 0.0000 0.0000 (multiplicity 4)  12 Co 2.87, 4 V 3.00
V 0.2500 0.2500 0.2500 (multiplicity 4)  12 Co 2.87, 4 Gd 3.00
Co 0.1246 0.1246 0.6246 (multiplicity 16)  6 Co 2.44-2.46

magnetization = 35.81 μB per cell
energy = -205.93 eV for the cell shown
energy relative to the elements = 0.02 eV/atom

***

[4]
Compound: Ba5Tl2Ga
Source: Alexandria
Functional: PBE-GGA
Structure: optimized geometry

Lattice parameters (Å, degrees): 7.6949 14.6660 6.0344 90.00 90.00 90.00
With the nearest neighbours (Å) after each atom.
Space group Pbam (No. 55)
Symmetry-distinct sites (fractional):
Ba 0.0000 0.0000 0.0000 (multiplicity 2)  4 Tl 3.72, 2 Ga 3.85, 2 Ba 4.08
Ba 0.1552 0.2883 0.0000 (multiplicity 4)  1 Ga 3.33, 2 Tl 3.64
Ba 0.1585 0.6040 0.5000 (multiplicity 4)  2 Ga 3.59, 3 Tl 3.65-3.88, 1 Ba 3.91
Tl 0.1294 0.8678 0.5000 (multiplicity 4)  7 Ba 3.64-3.88
Ga 0.0000 0.5000 0.0000 (multiplicity 2)  6 Ba 3.33-3.59

magnetization = 0.00 μB per cell
energy = -39.25 eV for the cell shown
energy relative to the elements = -0.28 eV/atom

***

[5]
Compound: LiCd2Ag2Hg
Source: Alexandria
Functional: PBE-GGA
Structure: optimized geometry

Lattice parameters (Å, degrees): 4.1684 9.1394 6.1169 90.00 90.00 90.00
With the nearest neighbours (Å) after each atom.
Space group Pmc2_1 (No. 26)
Symmetry-distinct sites (fractional):
Li 0.0000 0.0067 0.0000 (multiplicity 2)  4 Hg 2.88-2.94, 5 Ag 2.94-3.08, 1 Cd 2.99, 2 Li 3.06
Cd 0.0000 0.3201 0.4870 (multiplicity 2)  5 Ag 2.93-3.18, 1 Li 2.99, 4 Cd 3.05-3.07, 2 Hg 3.08
Cd 0.5000 0.4990 0.2385 (multiplicity 2)  5 Ag 3.00-3.02, 6 Cd 3.05-3.07, 1 Hg 3.25
Ag 0.0000 0.3318 0.9887 (multiplicity 2)  1 Li 2.97, 2 Ag 2.98, 7 Cd 3.00-3.18, 2 Hg 3.06
Ag 0.5000 0.1685 0.2385 (multiplicity 2)  3 Hg 2.88-3.14, 3 Cd 2.93-3.02, 4 Li 2.94-3.08, 2 Ag 2.98
Hg 0.5000 0.1460 0.7504 (multiplicity 2)  5 Ag 2.88-3.14, 4 Li 2.88-2.94, 2 Cd 3.08

magnetization = 0.00 μB per cell
energy = -20.97 eV for the cell shown
energy relative to the elements = -0.12 eV/atom

***

[6]
Compound: Ta2TiH
Source: Alexandria
Functional: PBE-GGA
Structure: optimized geometry

Lattice parameters (Å, degrees): 6.2141 6.2141 6.2141 90.00 90.00 90.00
With the nearest neighbours (Å) after each atom.
Space group Fm-3m (No. 225)
Symmetry-distinct sites (fractional):
Ta 0.2500 0.2500 0.2500 (multiplicity 8)  4 H 2.69, 4 Ti 2.69
Ti 0.0000 0.0000 0.0000 (multiplicity 4)  8 Ta 2.69
H 0.0000 0.0000 0.5000 (multiplicity 4)  8 Ta 2.69

magnetization = 0.00 μB per cell
energy = -125.31 eV for the cell shown
energy above the most stable polymorph in this dataset = 1.011 eV/atom

***

[7]
Compound: Ti5Mo6W
Source: Alexandria
Functional: PBE-GGA
Structure: optimized geometry

Lattice parameters (Å, degrees): 14.0145 6.3455 4.5147 90.00 108.63 90.00
With the nearest neighbours (Å) after each atom.
Space group C2/m (No. 12)
Symmetry-distinct sites (fractional):
Ti 0.0000 0.0000 0.0000 (multiplicity 2)  8 Mo 2.72-2.78
Ti 0.1661 0.0000 0.6665 (multiplicity 4)  8 Mo 2.73-2.77
Ti 0.1682 0.5000 0.6682 (multiplicity 4)  8 Mo 2.72-2.75
Mo 0.0000 0.2544 0.5000 (multiplicity 4)  6 Ti 2.72-2.78, 2 W 2.74
Mo 0.1654 0.2521 0.1658 (multiplicity 8)  1 W 2.70, 7 Ti 2.72-2.77
W 0.0000 0.5000 0.0000 (multiplicity 2)  8 Mo 2.70-2.74

magnetization = 0.00 μB per cell
energy = -236.76 eV for the cell shown
energy relative to the elements = -0.08 eV/atom

***

[8]
Compound: TlAgSn
Source: Alexandria
Functional: PBE-GGA
Structure: optimized geometry

Lattice parameters (Å, degrees): 4.8550 3.4948 9.3671 90.00 100.68 90.00
With the nearest neighbours (Å) after each atom.
Space group P2_1/m (No. 11)
Symmetry-distinct sites (fractional):
Tl 0.2176 0.2500 0.4135 (multiplicity 2)  2 Ag 3.20, 6 Tl 3.38-3.49, 2 Sn 3.41-3.45
Ag 0.1250 0.7500 0.1224 (multiplicity 2)  2 Ag 2.96, 5 Sn 2.98-3.03, 2 Tl 3.20
Sn 0.3715 0.7500 0.8498 (multiplicity 2)  5 Ag 2.98-3.03

magnetization = 0.00 μB per cell
energy = -18.11 eV for the cell shown
energy above the most stable polymorph in this dataset = 0.024 eV/atom
energy relative to the elements = 0.06 eV/atom

***

[9]
Compound: SrCa2YH
Source: Alexandria
Functional: PBE-GGA
Structure: optimized geometry

Lattice parameters (Å, degrees): 6.0412 6.0412 4.3942 90.00 90.00 90.00
With the nearest neighbours (Å) after each atom.
Space group P4/mmm (No. 123)
Symmetry-distinct sites (fractional):
Sr 0.0000 0.0000 0.0000 (multiplicity 1)  8 Ca 3.74
Ca 0.0000 0.5000 0.5000 (multiplicity 2)  2 H 3.02
Y 0.5000 0.5000 0.0000 (multiplicity 1)  2 H 2.20
H 0.5000 0.5000 0.5000 (multiplicity 1)  2 Y 2.20

magnetization = 0.00 μB per cell
energy = -15.61 eV for the cell shown

***

[10]
Compound: Cs2InTe2
Source: Alexandria
Functional: PBE-GGA
Structure: optimized geometry

Lattice parameters (Å, degrees): 16.4002 7.7848 11.0342 90.00 126.85 90.00
With the nearest neighbours (Å) after each atom.
Space group C2/m (No. 12)
Symmetry-distinct sites (fractional):
Cs 0.0979 0.0000 0.3366 (multiplicity 4)  5 Te 3.72-4.16
Cs 0.1595 0.5000 0.0610 (multiplicity 4)  5 Te 3.89-4.34, 1 In 3.95
In 0.1283 0.5000 0.6770 (multiplicity 4)  3 Te 2.86-3.18
Te 0.0855 0.5000 0.3782 (multiplicity 4)  2 In 2.93-3.18
Te 0.1624 0.0000 0.0655 (multiplicity 4)  1 In 2.86

magnetization = 0.00 μB per cell
energy = -56.39 eV for the cell shown
energy above the most stable polymorph in this dataset = 0.159 eV/atom
raw formation energy = -0.67 eV per atom

***

[11]
Compound: MnCr4As
Source: Alexandria
Functional: PBE-GGA
Structure: optimized geometry

Lattice parameters (Å, degrees): 6.7130 6.7130 6.7130 90.00 90.00 90.00
With the nearest neighbours (Å) after each atom.
Space group F-43m (No. 216)
Symmetry-distinct sites (fractional):
Mn 0.0000 0.0000 0.0000 (multiplicity 4)  12 Cr 2.78, 4 As 2.91
Cr 0.1247 0.1247 0.3753 (multiplicity 16)  6 Cr 2.37-2.38
As 0.2500 0.2500 0.7500 (multiplicity 4)  12 Cr 2.78, 4 Mn 2.91

magnetization = 9.22 μB per cell
energy = -201.56 eV for the cell shown
energy relative to the elements = 0.32 eV/atom

***

[12]
Compound: BaSr2Cr
Source: Alexandria
Functional: PBE-GGA
Structure: optimized geometry

Lattice parameters (Å, degrees): 7.6300 7.6300 18.4609 90.00 90.00 90.00
With the nearest neighbours (Å) after each atom.
Space group I-42d (No. 122)
Symmetry-distinct sites (fractional):
Ba 0.0000 0.0000 0.0000 (multiplicity 4)  8 Sr 4.84-4.85, 4 Cr 5.40
Sr 0.0008 0.7500 0.6250 (multiplicity 8)  2 Cr 2.99
Cr 0.0000 0.0000 0.5000 (multiplicity 4)  4 Sr 2.99

magnetization = 18.50 μB per cell
energy = -42.90 eV for the cell shown
energy above the most stable polymorph in this dataset = 0.638 eV/atom
energy relative to the elements = 1.05 eV/atom